1.
# Ba3AlZn3 PBE relaxed
# E_tot ... -58.263 eV/cell
# ΔE_f ... -17.0 kJ/mol of atoms
data_Ba3AlZn3
_chemical_formula_sum 'Ba12 Al4 Zn12'
_cell_length_a 4.616
_cell_length_b 12.369
_cell_length_c 15.580
_cell_angle_alpha 90.00
_cell_angle_beta 90.00
_cell_angle_gamma 90.00
_space_group_name_H-M_alt 'C m c m'
_space_group_IT_number 63
_space_group_name_Hall '-C 2c 2'
loop_
_atom_site_label
_atom_site_type_symbol
_atom_site_fract_x
_atom_site_fract_y
_atom_site_fract_z
Ba1 Ba 0.000 0.008 0.250
Ba2 Ba 0.000 0.269 0.602
Al1 Al 0.000 0.000 0.000
Zn1 Zn 0.000 0.309 0.250
Zn2 Zn 0.000 0.444 0.078


2.
# BaAl3Zn3 PBE relaxed
# E_tot ... -32.530 eV/cell
# ΔE_f ... 9.8 kJ/mol of atoms
data_BaAl3Zn3
_chemical_formula_sum 'Ba2 Al6 Zn6'
_cell_length_a 7.107
_cell_length_b 7.107
_cell_length_c 7.107
_cell_angle_alpha 90.00
_cell_angle_beta 90.00
_cell_angle_gamma 90.00
_space_group_name_H-M_alt 'P m -3 n'
_space_group_IT_number 223
_space_group_name_Hall '-P 4n 2 3'
loop_
_atom_site_label
_atom_site_type_symbol
_atom_site_fract_x
_atom_site_fract_y
_atom_site_fract_z
Ba1 Ba 0.000 0.000 0.000
Al1 Al 0.000 0.250 0.500
Zn1 Zn 0.000 0.500 0.250


Calculated values (Å³/f.u.) of calculated volume for the records, taken in order: 222.4, 179.5.